(w)
BeTlRe | PBE | relaxed

The space group is P3m1 (No. 156) and the conventional cell measures 2.9351, 2.9351 and 6.7156 Å, with angles of 90.00, 90.00 and 120.00 degrees. Symmetry generates all atoms from Be at (0.0000, 0.0000, 0.0000), Tl at (0.3333, 0.6667, 0.6360) and Re at (0.6667, 0.3333, 0.2543).

As for the density: 13.2 g cm⁻³.


(x)
BeTlRe | PBE | relaxed

The space group is P3m1 (No. 156) and the conventional cell measures 4.3353, 4.3353 and 2.9401 Å, with angles of 90.00, 90.00 and 120.00 degrees. Symmetry generates all atoms from Be at (0.0000, 0.0000, 0.0000), Tl at (0.6667, 0.3333, 0.6259) and Re at (0.3333, 0.6667, 0.1232).

As for the density: 13.9 g cm⁻³.


Stability verdict: (w), ahead by 11.5 kJ/mol of atoms


(w)
Be2TlRe | PBE | relaxed

The space group is Immm (No. 71) and the conventional cell measures 3.448, 4.229 and 7.799 Å, with angles of 90.00, 90.00 and 90.00 degrees. Symmetry generates all atoms from Be at (0.000, 0.000, 0.234), Tl at (0.000, 0.500, 0.000) and Re at (0.000, 0.500, 0.500).

As for the density: 11.9 g cm⁻³.


(x)
Be2TlRe | PBE | relaxed

The space group is I-42d (No. 122) and the conventional cell measures 6.594, 6.594 and 5.492 Å, with angles of 90.00, 90.00 and 90.00 degrees. Symmetry generates all atoms from Be at (0.225, 0.250, 0.125), Tl at (0.000, 0.000, 0.500) and Re at (0.000, 0.000, 0.000).

As for the density: 11.4 g cm⁻³.


Stability verdict: (w), ahead by 14.1 kJ/mol of atoms


(w)
Be2TlRe | PBE | relaxed

The space group is R-3m (No. 166, hexagonal axes) and the conventional cell measures 2.9347, 2.9347 and 24.4020 Å, with angles of 90.00, 90.00 and 120.00 degrees. Symmetry generates all atoms from Be at (0.0000, 0.0000, 0.2390), Tl at (0.0000, 0.0000, 0.0000) and Re at (0.0000, 0.0000, 0.5000).

As for the density: 11.2 g cm⁻³.


(x)
Be2TlRe | PBE | relaxed

The space group is P4mm (No. 99) and the conventional cell measures 2.793, 2.793 and 8.540 Å, with angles of 90.00, 90.00 and 90.00 degrees. Symmetry generates all atoms from Be at (0.000, 0.000, 0.000), Be at (0.500, 0.500, 0.112), Tl at (0.500, 0.500, 0.584) and Re at (0.000, 0.000, 0.289).

As for the density: 10.2 g cm⁻³.


(y)
Be2TlRe | PBE | relaxed

The space group is C2/m (No. 12) and the conventional cell measures 8.331, 3.269 and 4.630 Å, with angles of 90.00, 100.01 and 90.00 degrees. Symmetry generates all atoms from Be at (0.207, 0.000, 0.086), Tl at (0.000, 0.000, 0.500) and Re at (0.000, 0.500, 0.000).

As for the density: 10.9 g cm⁻³.


Stability verdict: (y), ahead by 14.0 kJ/mol of atoms


(w)
Be2TlRe | PBE | relaxed

The space group is F-43m (No. 216) and the conventional cell measures 6.164, 6.164 and 6.164 Å, with angles of 90.00, 90.00 and 90.00 degrees. Symmetry generates all atoms from Be at (0.000, 0.000, 0.000), Be at (0.250, 0.250, 0.250), Tl at (0.250, 0.250, 0.750) and Re at (0.000, 0.000, 0.500).

As for the density: 11.6 g cm⁻³.


(x)
Be2TlRe | PBE | relaxed

The space group is Pm (No. 6) and the conventional cell measures 2.768, 3.763 and 5.765 Å, with angles of 90.00, 90.05 and 90.00 degrees. Symmetry generates all atoms from Be at (0.000, 0.000, 0.000), Be at (0.003, 0.500, 0.208), Tl at (0.002, 0.500, 0.678) and Re at (0.503, 0.000, 0.333).

As for the density: 11.3 g cm⁻³.


Stability verdict: (x), ahead by 51.6 kJ/mol of atoms


(w)
BeTlRe2 | PBE | relaxed

The space group is P4mm (No. 99) and the conventional cell measures 3.042, 3.042 and 6.746 Å, with angles of 90.00, 90.00 and 90.00 degrees. Symmetry generates all atoms from Be at (0.000, 0.000, 0.000), Tl at (0.500, 0.500, 0.701), Re at (0.000, 0.000, 0.382) and Re at (0.500, 0.500, 0.152).

As for the density: 15.6 g cm⁻³.


(x)
BeTlRe2 | PBE | relaxed

The space group is Fm-3m (No. 225) and the conventional cell measures 6.255, 6.255 and 6.255 Å, with angles of 90.00, 90.00 and 90.00 degrees. Symmetry generates all atoms from Be at (0.000, 0.000, 0.000), Tl at (0.000, 0.000, 0.500) and Re at (0.250, 0.250, 0.250).

As for the density: 15.9 g cm⁻³.


Stability verdict: (w), ahead by 77.7 kJ/mol of atoms


(w)
BeTlRe2 | PBE | relaxed

The space group is P4/mmm (No. 123) and the conventional cell measures 3.812, 3.812 and 4.326 Å, with angles of 90.00, 90.00 and 90.00 degrees. Symmetry generates all atoms from Be at (0.000, 0.000, 0.000), Tl at (0.500, 0.500, 0.000) and Re at (0.000, 0.500, 0.500).

As for the density: 15.5 g cm⁻³.


(x)
BeTlRe2 | PBE | relaxed

The space group is P4/mmm (No. 123) and the conventional cell measures 2.969, 2.969 and 7.078 Å, with angles of 90.00, 90.00 and 90.00 degrees. Symmetry generates all atoms from Be at (0.000, 0.000, 0.000), Tl at (0.000, 0.000, 0.500) and Re at (0.500, 0.500, 0.171).

As for the density: 15.6 g cm⁻³.


Stability verdict: (x), ahead by 40.9 kJ/mol of atoms


(w)
BeTlRe2 | PBE | relaxed

The space group is I4/mmm (No. 139) and the conventional cell measures 3.801, 3.801 and 8.717 Å, with angles of 90.00, 90.00 and 90.00 degrees. Symmetry generates all atoms from Be at (0.000, 0.000, 0.000), Tl at (0.000, 0.000, 0.500) and Re at (0.000, 0.500, 0.250).

As for the density: 15.4 g cm⁻³.


(x)
BeTlRe2 | PBE | relaxed

The space group is I-4m2 (No. 119) and the conventional cell measures 4.184, 4.184 and 7.071 Å, with angles of 90.00, 90.00 and 90.00 degrees. Symmetry generates all atoms from Be at (0.000, 0.000, 0.000), Tl at (0.000, 0.500, 0.250), Re at (0.000, 0.000, 0.500) and Re at (0.000, 0.500, 0.750).

As for the density: 15.7 g cm⁻³.


Stability verdict: (x), ahead by 15.9 kJ/mol of atoms


(w)
BeTlRe3 | PBE | relaxed

The space group is Pm-3m (No. 221) and the conventional cell measures 4.265, 4.265 and 4.265 Å, with angles of 90.00, 90.00 and 90.00 degrees. Symmetry generates all atoms from Be at (0.000, 0.000, 0.000), Tl at (0.500, 0.500, 0.500) and Re at (0.000, 0.000, 0.500).

As for the density: 16.5 g cm⁻³.


(x)
BeTlRe3 | PBE | relaxed

The space group is Pm-3m (No. 221) and the conventional cell measures 4.942, 4.942 and 4.942 Å, with angles of 90.00, 90.00 and 90.00 degrees. Symmetry generates all atoms from Be at (0.000, 0.000, 0.000), Tl at (0.500, 0.500, 0.500) and Re at (0.000, 0.500, 0.500).

As for the density: 10.6 g cm⁻³.


Stability verdict: (w), ahead by 249.1 kJ/mol of atoms


(w)
BeVRe | PBE | relaxed

The space group is I4mm (No. 107) and the conventional cell measures 3.087, 3.087 and 7.840 Å, with angles of 90.00, 90.00 and 90.00 degrees. Symmetry generates all atoms from Be at (0.000, 0.000, 0.000), V at (0.000, 0.000, 0.332) and Re at (0.000, 0.000, 0.662).

As for the density: 10.9 g cm⁻³.


(x)
BeVRe | PBE | relaxed

The space group is P3m1 (No. 156) and the conventional cell measures 4.1360, 4.1360 and 2.5777 Å, with angles of 90.00, 90.00 and 120.00 degrees. Symmetry generates all atoms from Be at (0.0000, 0.0000, 0.0000), V at (0.3333, 0.6667, 0.6580) and Re at (0.6667, 0.3333, 0.3481).

As for the density: 10.7 g cm⁻³.


Stability verdict: (w), ahead by 4.9 kJ/mol of atoms


(w)
Be3VRe | PBE | relaxed

The space group is Pm-3m (No. 221) and the conventional cell measures 4.170, 4.170 and 4.170 Å, with angles of 90.00, 90.00 and 90.00 degrees. Symmetry generates all atoms from Be at (0.000, 0.000, 0.500), V at (0.500, 0.500, 0.500) and Re at (0.000, 0.000, 0.000).

As for the density: 6.0 g cm⁻³.


(x)
Be3VRe | PBE | relaxed

The space group is Pm-3m (No. 221) and the conventional cell measures 3.932, 3.932 and 3.932 Å, with angles of 90.00, 90.00 and 90.00 degrees. Symmetry generates all atoms from Be at (0.000, 0.000, 0.500), V at (0.000, 0.000, 0.000) and Re at (0.500, 0.500, 0.500).

As for the density: 7.2 g cm⁻³.


Stability verdict: (w), ahead by 48.1 kJ/mol of atoms


(w)
Be2ReW | PBE | relaxed

The space group is P4mm (No. 99) and the conventional cell measures 3.084, 3.084 and 5.375 Å, with angles of 90.00, 90.00 and 90.00 degrees. Symmetry generates all atoms from Be at (0.000, 0.000, 0.000), Be at (0.500, 0.500, 0.207), Re at (0.000, 0.000, 0.466) and W at (0.500, 0.500, 0.721).

As for the density: 12.6 g cm⁻³.


(x)
Be2ReW | PBE | relaxed

The space group is Immm (No. 71) and the conventional cell measures 3.172, 4.167 and 7.541 Å, with angles of 90.00, 90.00 and 90.00 degrees. Symmetry generates all atoms from Be at (0.000, 0.000, 0.246), Re at (0.000, 0.500, 0.500) and W at (0.000, 0.500, 0.000).

As for the density: 12.9 g cm⁻³.


Stability verdict: (x), ahead by 3.6 kJ/mol of atoms


(w)
Be2ReW | PBE | relaxed

The space group is Fm-3m (No. 225) and the conventional cell measures 5.729, 5.729 and 5.729 Å, with angles of 90.00, 90.00 and 90.00 degrees. Symmetry generates all atoms from Be at (0.250, 0.250, 0.250), Re at (0.000, 0.000, 0.000) and W at (0.000, 0.000, 0.500).

As for the density: 13.7 g cm⁻³.


(x)
Be2ReW | PBE | relaxed

The space group is P4/mmm (No. 123) and the conventional cell measures 3.017, 3.017 and 5.242 Å, with angles of 90.00, 90.00 and 90.00 degrees. Symmetry generates all atoms from Be at (0.000, 0.000, 0.228), Re at (0.500, 0.500, 0.000) and W at (0.500, 0.500, 0.500).

As for the density: 13.5 g cm⁻³.


Stability verdict: (x), ahead by 6.3 kJ/mol of atoms